Record 1
VASP calculation (PBE-GGA) on crystalline SiGePd2 at its relaxed geometry.

Unit cell a=5.294 b=5.294 c=5.294 alpha=44.41 beta=44.41 gamma=44.41
Atoms (fractional coordinates):
Si1 0.000 0.000 0.000
Ge1 0.819 0.819 0.819
Pd1 0.392 0.392 0.392
Pd2 0.594 0.594 0.594

Output
The space-group type is R3m (160). Its energy relative to the elements, uncorrected is -325 meV per atom. For the energy above the most stable polymorph in this dataset, the calculation gives 6 meV/atom. As for the energy: -5.43 eV per atom. For the total moment, the calculation gives 0.00 μB per cell.

Record 2
VASP calculation (PBE-GGA) on crystalline Pm3Nd2Pd2 at its relaxed geometry.

Unit cell a=6.611 b=6.611 c=9.269 alpha=114.80 beta=114.80 gamma=33.90
Atoms (fractional coordinates):
Pm1 0.000 0.000 0.000
Pm2 0.115 0.115 0.441
Pm3 0.885 0.885 0.559
Nd1 0.343 0.343 0.189
Nd2 0.657 0.657 0.811
Pd1 0.335 0.335 0.767
Pd2 0.665 0.665 0.233

Output
The space-group type is C2/m (12). As for the energy: -5.34 eV per atom. Its formation energy is -312 kJ/mol of formula units. For the total moment, the calculation gives 0.00 μB per cell.